1.
{"formula": "K2TlRuO6", "functional": "GGA-PBE", "state": "relaxed", "lattice": [[6.136, 0.000, 0.000], [-3.068, 5.314, 0.000], [0.000, 0.000, 5.899]], "species": ["K", "K", "Tl", "Ru", "O", "O", "O", "O", "O", "O"], "fractional_positions": [[0.333, 0.667, 0.371], [0.667, 0.333, 0.629], [0.000, 0.000, 0.000], [0.000, 0.000, 0.500], [0.144, 0.287, 0.694], [0.144, 0.856, 0.694], [0.287, 0.144, 0.306], [0.713, 0.856, 0.694], [0.856, 0.144, 0.306], [0.856, 0.713, 0.306]], "magnetic_moment_mub_per_atom": 0.04, "sg": "P-3m1", "e_form_raw_ev_per_atom": -0.870}

2.
{"formula": "Al2AsPbC", "functional": "GGA-PBE", "state": "relaxed", "lattice": [[5.231, 0.000, 0.000], [0.000, 5.231, 0.000], [0.000, 0.000, 3.869]], "species": ["Al", "Al", "As", "Pb", "C"], "fractional_positions": [[0.000, 0.500, 0.000], [0.500, 0.000, 0.000], [0.000, 0.000, 0.000], [0.500, 0.500, 0.500], [0.000, 0.000, 0.500]], "magnetic_moment_mub_per_atom": 0.00, "delta_e_f_ev_per_fu": 5.5, "sg": "P4/mmm"}

3.
{"formula": "BaAlCu2Te4", "functional": "GGA-PBE", "state": "relaxed", "lattice": [[-3.598, 3.996, 4.352], [3.598, -3.996, 4.352], [3.598, 3.996, -4.352]], "species": ["Ba", "Al", "Cu", "Cu", "Te", "Te", "Te", "Te"], "fractional_positions": [[0.000, 0.000, 0.000], [0.500, 0.500, 0.000], [0.351, 0.851, 0.500], [0.649, 0.149, 0.500], [0.142, 0.112, 0.590], [0.478, 0.888, 0.029], [0.522, 0.551, 0.410], [0.858, 0.449, 0.971]], "magnetic_moment_mub_per_atom": 0.00, "sg": "I222", "e_form_raw_ev_per_atom": -0.522}

4.
{"formula": "Na4Cd3Hg16", "functional": "GGA-PBE", "state": "relaxed", "lattice": [[7.260, 0.000, 0.000], [0.000, 7.260, 0.000], [0.000, 0.000, 11.799]], "species": ["Na", "Na", "Na", "Na", "Cd", "Cd", "Cd", "Hg", "Hg", "Hg", "Hg", "Hg", "Hg", "Hg", "Hg", "Hg", "Hg", "Hg", "Hg", "Hg", "Hg", "Hg", "Hg"], "fractional_positions": [[0.000, 0.500, 0.183], [0.000, 0.500, 0.817], [0.500, 0.000, 0.183], [0.500, 0.000, 0.817], [0.000, 0.000, 0.000], [0.000, 0.500, 0.500], [0.500, 0.000, 0.500], [0.000, 0.000, 0.245], [0.000, 0.000, 0.755], [0.265, 0.265, 0.363], [0.265, 0.265, 0.637], [0.265, 0.735, 0.363], [0.265, 0.735, 0.637], [0.283, 0.283, 0.000], [0.283, 0.717, 0.000], [0.500, 0.500, 0.194], [0.500, 0.500, 0.806], [0.717, 0.283, 0.000], [0.717, 0.717, 0.000], [0.735, 0.265, 0.363], [0.735, 0.265, 0.637], [0.735, 0.735, 0.363], [0.735, 0.735, 0.637]], "magnetic_moment_mub_per_atom": 0.00, "delta_e_f_ev_per_fu": -2.4, "sg": "P4/mmm"}

5.
{"formula": "K2Y2Te2Se", "functional": "GGA-PBE", "state": "relaxed", "lattice": [[-2.711, 2.711, 8.773], [2.711, -2.711, 8.773], [2.711, 2.711, -8.773]], "species": ["K", "K", "Y", "Y", "Te", "Te", "Se"], "fractional_positions": [[0.186, 0.186, 0.000], [0.814, 0.814, 0.000], [0.000, 0.500, 0.500], [0.500, 0.000, 0.500], [0.388, 0.388, 0.000], [0.612, 0.612, 0.000], [0.000, 0.000, 0.000]], "magnetic_moment_mub_per_atom": 0.06, "sg": "I4/mmm", "e_form_raw_ev_per_atom": -1.157}

6.
{"formula": "PrScAl2", "functional": "GGA-PBE", "state": "relaxed", "lattice": [[4.648, 0.000, 0.000], [0.000, 4.648, 0.000], [0.000, 0.000, 4.275]], "species": ["Pr", "Sc", "Al", "Al"], "fractional_positions": [[0.000, 0.000, 0.000], [0.500, 0.500, 0.000], [0.000, 0.500, 0.500], [0.500, 0.000, 0.500]], "magnetic_moment_mub_per_atom": 0.00, "delta_e_f_ev_per_fu": -1.2, "sg": "P4/mmm", "e_above_lowest_polymorph_mev_per_atom": 82}

7.
{"formula": "Ac4GaPSe2", "functional": "GGA-PBE", "state": "relaxed", "lattice": [[7.877, 0.000, 0.000], [0.000, 4.449, 0.000], [-2.562, 0.000, 7.451]], "species": ["Ac", "Ac", "Ac", "Ac", "Ga", "P", "Se", "Se"], "fractional_positions": [[0.241, 0.000, 0.236], [0.248, 0.500, 0.757], [0.752, 0.500, 0.243], [0.759, 0.000, 0.764], [0.500, 0.000, 0.000], [0.000, 0.500, 0.000], [0.000, 0.000, 0.500], [0.500, 0.500, 0.500]], "magnetic_moment_mub_per_atom": 0.00, "sg": "P2/m", "e_form_raw_ev_per_atom": -1.423}

8.
{"formula": "ErAgH8Ir2", "functional": "GGA-PBE", "state": "relaxed", "lattice": [[4.330, -2.176, 0.000], [4.330, 2.176, 0.000], [-2.201, 0.000, 5.515]], "species": ["Er", "Ag", "H", "H", "H", "H", "H", "H", "H", "H", "Ir", "Ir"], "fractional_positions": [[0.000, 0.000, 0.000], [0.500, 0.500, 0.500], [0.069, 0.570, 0.162], [0.230, 0.230, 0.380], [0.418, 0.418, 0.863], [0.430, 0.931, 0.838], [0.570, 0.069, 0.162], [0.582, 0.582, 0.137], [0.770, 0.770, 0.620], [0.931, 0.430, 0.838], [0.223, 0.223, 0.664], [0.777, 0.777, 0.336]], "magnetic_moment_mub_per_atom": 0.00, "sg": "C2/m", "e_tot_ev_per_atom": -4.44}

9.
{"formula": "RbSr2LaBr8", "functional": "GGA-PBE", "state": "relaxed", "lattice": [[7.037, 0.000, 0.000], [0.000, 9.599, 0.000], [-0.014, 0.000, 7.318]], "species": ["Rb", "Sr", "Sr", "La", "Br", "Br", "Br", "Br", "Br", "Br", "Br", "Br"], "fractional_positions": [[0.000, 0.000, 0.000], [0.500, 0.247, 0.500], [0.500, 0.753, 0.500], [0.000, 0.500, 0.000], [0.242, 0.283, 0.161], [0.242, 0.717, 0.161], [0.260, 0.500, 0.669], [0.267, 0.000, 0.626], [0.733, 0.000, 0.374], [0.740, 0.500, 0.331], [0.758, 0.283, 0.839], [0.758, 0.717, 0.839]], "magnetic_moment_mub_per_atom": 0.00, "sg": "P2/m", "e_form_raw_ev_per_atom": -1.995}

10.
{"formula": "TcPbSe", "functional": "GGA-PBE", "state": "relaxed", "lattice": [[0.000, 3.220, 3.220], [3.220, 0.000, 3.220], [3.220, 3.220, 0.000]], "species": ["Tc", "Pb", "Se"], "fractional_positions": [[0.000, 0.000, 0.000], [0.250, 0.250, 0.250], [0.750, 0.750, 0.750]], "magnetic_moment_mub_per_atom": 0.00, "sg": "F-43m", "e_form_raw_ev_per_atom": 0.503, "e_above_lowest_polymorph_mev_per_atom": 495}

11.
{"formula": "BaYOs2", "functional": "GGA-PBE", "state": "relaxed", "lattice": [[-2.125, 2.125, 4.924], [2.125, -2.125, 4.924], [2.125, 2.125, -4.924]], "species": ["Ba", "Y", "Os", "Os"], "fractional_positions": [[0.000, 0.000, 0.000], [0.750, 0.250, 0.500], [0.250, 0.750, 0.500], [0.500, 0.500, 0.000]], "magnetic_moment_mub_per_atom": 0.21, "delta_e_f_ev_per_fu": 4.3, "sg": "I-4m2", "e_above_lowest_polymorph_mev_per_atom": 974}

12.
{"formula": "Cr2NiOs", "functional": "GGA-PBE", "state": "relaxed", "lattice": [[0.000, 2.917, 2.917], [2.917, 0.000, 2.917], [2.917, 2.917, 0.000]], "species": ["Cr", "Cr", "Ni", "Os"], "fractional_positions": [[0.000, 0.000, 0.000], [0.250, 0.250, 0.250], [0.750, 0.750, 0.750], [0.500, 0.500, 0.500]], "magnetic_moment_mub_per_atom": 0.36, "delta_e_f_ev_per_fu": 0.7, "sg": "F-43m"}

13.
{"formula": "Mg2B2Rh", "functional": "GGA-PBE", "state": "relaxed", "lattice": [[5.774, 0.000, 0.000], [0.000, 5.774, 0.000], [0.000, 0.000, 3.593]], "species": ["Mg", "Mg", "Mg", "Mg", "B", "B", "B", "B", "Rh", "Rh"], "fractional_positions": [[0.187, 0.313, 0.000], [0.313, 0.813, 0.000], [0.687, 0.187, 0.000], [0.813, 0.687, 0.000], [0.101, 0.601, 0.500], [0.399, 0.101, 0.500], [0.601, 0.899, 0.500], [0.899, 0.399, 0.500], [0.000, 0.000, 0.500], [0.500, 0.500, 0.500]], "magnetic_moment_mub_per_atom": 0.00, "delta_e_f_ev_per_fu": -0.8, "sg": "P4/mbm"}

14.
{"formula": "CdSb3As", "functional": "GGA-PBE", "state": "relaxed", "lattice": [[5.413, 0.000, 0.000], [0.000, 5.413, 0.000], [0.000, 0.000, 5.413]], "species": ["Cd", "Sb", "Sb", "Sb", "As"], "fractional_positions": [[0.000, 0.000, 0.000], [0.000, 0.500, 0.500], [0.500, 0.000, 0.500], [0.500, 0.500, 0.000], [0.500, 0.500, 0.500]], "magnetic_moment_mub_per_atom": 0.00, "sg": "Pm-3m", "e_form_raw_ev_per_atom": 0.620, "e_above_lowest_polymorph_mev_per_atom": 0}

15.
{"formula": "Zn5GaAu6", "functional": "GGA-PBE", "state": "relaxed", "lattice": [[2.195, -6.617, 0.000], [2.195, 6.617, 0.000], [-0.167, 0.000, 6.782]], "species": ["Zn", "Zn", "Zn", "Zn", "Zn", "Ga", "Au", "Au", "Au", "Au", "Au", "Au"], "fractional_positions": [[0.000, 0.000, 0.000], [0.328, 0.672, 0.500], [0.336, 0.664, 0.000], [0.664, 0.336, 0.000], [0.672, 0.328, 0.500], [0.000, 0.000, 0.500], [0.163, 0.829, 0.756], [0.171, 0.837, 0.244], [0.499, 0.499, 0.744], [0.501, 0.501, 0.256], [0.829, 0.163, 0.756], [0.837, 0.171, 0.244]], "magnetic_moment_mub_per_atom": 0.00, "delta_e_f_ev_per_fu": -2.2, "sg": "C2/m"}

16.
{"formula": "Ac3Ni2Sn2", "functional": "GGA-PBE", "state": "relaxed", "lattice": [[-2.329, 2.348, 9.419], [2.329, -2.348, 9.419], [2.329, 2.348, -9.419]], "species": ["Ac", "Ac", "Ac", "Ni", "Ni", "Sn", "Sn"], "fractional_positions": [[0.000, 0.000, 0.000], [0.174, 0.674, 0.500], [0.826, 0.326, 0.500], [0.436, 0.436, 0.000], [0.564, 0.564, 0.000], [0.364, 0.864, 0.500], [0.636, 0.136, 0.500]], "magnetic_moment_mub_per_atom": 0.00, "delta_e_f_ev_per_fu": -3.4, "sg": "Immm"}

17.
{"formula": "VTc8B2", "functional": "GGA-PBE", "state": "relaxed", "lattice": [[3.363, -5.079, 0.000], [3.363, 5.079, 0.000], [-1.219, 0.000, 4.233]], "species": ["V", "Tc", "Tc", "Tc", "Tc", "Tc", "Tc", "Tc", "Tc", "B", "B"], "fractional_positions": [[0.000, 0.000, 0.000], [0.076, 0.331, 0.607], [0.247, 0.753, 0.000], [0.331, 0.076, 0.607], [0.388, 0.388, 0.192], [0.612, 0.612, 0.808], [0.669, 0.924, 0.393], [0.753, 0.247, 0.000], [0.924, 0.669, 0.393], [0.313, 0.687, 0.500], [0.687, 0.313, 0.500]], "magnetic_moment_mub_per_atom": 0.00, "delta_e_f_ev_per_fu": -1.0, "sg": "C2/m"}

18.
{"formula": "Er2Ni5P4", "functional": "GGA-PBE", "state": "relaxed", "lattice": [[0.000, 4.586, 6.506], [2.623, 0.000, 6.506], [2.623, 4.586, 0.000]], "species": ["Er", "Er", "Ni", "Ni", "Ni", "Ni", "Ni", "P", "P", "P", "P"], "fractional_positions": [[0.143, 0.143, 0.857], [0.857, 0.857, 0.143], [0.000, 0.000, 0.500], [0.250, 0.250, 0.250], [0.500, 0.500, 0.000], [0.500, 0.500, 0.500], [0.750, 0.750, 0.750], [0.218, 0.520, 0.480], [0.480, 0.782, 0.218], [0.520, 0.218, 0.782], [0.782, 0.480, 0.520]], "magnetic_moment_mub_per_atom": 0.00, "delta_e_f_ev_per_fu": -8.7, "sg": "Fmmm"}

19.
{"formula": "CeSm6YHo2", "functional": "GGA-PBE", "state": "relaxed", "lattice": [[5.668, -3.472, 0.000], [5.668, 3.472, 0.000], [-2.179, 0.000, 8.583]], "species": ["Ce", "Sm", "Sm", "Sm", "Sm", "Sm", "Sm", "Y", "Ho", "Ho"], "fractional_positions": [[0.000, 0.000, 0.000], [0.091, 0.563, 0.200], [0.125, 0.125, 0.416], [0.437, 0.909, 0.800], [0.563, 0.091, 0.200], [0.875, 0.875, 0.584], [0.909, 0.437, 0.800], [0.500, 0.500, 0.500], [0.411, 0.411, 0.834], [0.589, 0.589, 0.166]], "magnetic_moment_mub_per_atom": 0.14, "delta_e_f_ev_per_fu": 2.5, "sg": "C2/m"}

20.
{"formula": "K2Tl5Au4", "functional": "GGA-PBE", "state": "relaxed", "lattice": [[6.791, -3.333, 0.000], [6.791, 3.333, 0.000], [-6.732, 0.000, 6.916]], "species": ["K", "K", "Tl", "Tl", "Tl", "Tl", "Tl", "Au", "Au", "Au", "Au"], "fractional_positions": [[0.207, 0.207, 0.208], [0.793, 0.793, 0.792], [0.251, 0.745, 0.674], [0.255, 0.749, 0.326], [0.500, 0.500, 0.000], [0.745, 0.251, 0.674], [0.749, 0.255, 0.326], [0.248, 0.248, 0.905], [0.251, 0.251, 0.596], [0.749, 0.749, 0.404], [0.752, 0.752, 0.095]], "magnetic_moment_mub_per_atom": 0.00, "delta_e_f_ev_per_fu": -1.1, "sg": "C2/m", "e_above_lowest_polymorph_mev_per_atom": 11}